1.
Material: LiAcO2F
Method: DFT, PBE-GGA
State: relaxed

Unit cell a=6.112 b=6.112 c=7.086 alpha=90.00 beta=90.00 gamma=143.44
Sites, in units of the cell vectors:
Li: 0.000 0.000 0.000
Li: 0.000 0.000 0.500
Ac: 0.245 0.755 0.750
Ac: 0.755 0.245 0.250
O: 0.156 0.844 0.080
O: 0.156 0.844 0.420
O: 0.844 0.156 0.580
O: 0.844 0.156 0.920
F: 0.412 0.588 0.250
F: 0.588 0.412 0.750

Output
The volume is 15.77 A^3/atom. The density of states at the Fermi level comes out at 0.2 states/eV/f.u. The value obtained for the uncorrected formation energy is -2.59 eV/atom. The total energy comes out at -6.157 eV/atom. The value obtained for the calculated density is 6.00 Mg/m³.

---

2.
Material: MgOs3F
Method: DFT, PBE-GGA
State: relaxed

Unit cell a=4.589 b=4.589 c=4.589 alpha=90.00 beta=90.00 gamma=90.00
Sites, in units of the cell vectors:
Mg: 0.000 0.000 0.000
Os: 0.000 0.000 0.500
Os: 0.000 0.500 0.000
Os: 0.500 0.000 0.000
F: 0.500 0.500 0.500

Output
The volume is 19.33 A^3/atom. The density of states at the Fermi level comes out at 6.1 states/eV/f.u. The value obtained for the uncorrected formation energy is 2.74 eV/atom. The total energy comes out at -4.695 eV/atom. The energy above the lowest structure with this stoichiometry comes out at 1273.7 meV per atom. The value obtained for the calculated density is 10.55 Mg/m³.

---

3.
Material: Zn3GeI
Method: DFT, PBE-GGA
State: relaxed

Unit cell a=4.999 b=4.999 c=4.999 alpha=90.00 beta=90.00 gamma=90.00
Sites, in units of the cell vectors:
Zn: 0.000 0.000 0.500
Zn: 0.000 0.500 0.000
Zn: 0.500 0.000 0.000
Ge: 0.000 0.000 0.000
I: 0.500 0.500 0.500

Output
The volume is 24.98 A^3/atom. The density of states at the Fermi level comes out at 1.3 states/eV/f.u. The value obtained for the uncorrected formation energy is 0.10 eV/atom. The total energy comes out at -1.898 eV/atom. The energy above the lowest structure with this stoichiometry comes out at 0.0 meV per atom. The value obtained for the calculated density is 5.26 Mg/m³.

---

4.
Material: CeDy2Ru4
Method: DFT, PBE-GGA
State: relaxed

Unit cell a=6.621 b=6.621 c=6.548 alpha=90.00 beta=90.00 gamma=90.00
Sites, in units of the cell vectors:
Ce: 0.000 0.000 0.000
Ce: 0.500 0.500 0.500
Dy: 0.000 0.500 0.000
Dy: 0.000 0.500 0.500
Dy: 0.500 0.000 0.000
Dy: 0.500 0.000 0.500
Ru: 0.250 0.250 0.250
Ru: 0.250 0.250 0.750
Ru: 0.250 0.750 0.250
Ru: 0.250 0.750 0.750
Ru: 0.750 0.250 0.250
Ru: 0.750 0.250 0.750
Ru: 0.750 0.750 0.250
Ru: 0.750 0.750 0.750

Output
The volume is 20.51 A^3/atom. The calculation puts the energy of formation from the pure elements at 1.4 eV/f.u. The density of states at the Fermi level comes out at 7.9 states/eV/f.u. The total energy comes out at -7.263 eV/atom. The value obtained for the calculated density is 10.06 Mg/m³.

---

5.
Material: NaAl2Rh
Method: DFT, PBE-GGA
State: relaxed

Unit cell a=5.530 b=5.530 c=15.034 alpha=90.00 beta=90.00 gamma=90.00
Sites, in units of the cell vectors:
Na: 0.000 0.000 0.000
Na: 0.000 0.500 0.250
Na: 0.500 0.000 0.750
Na: 0.500 0.500 0.500
Al: 0.001 0.750 0.625
Al: 0.250 0.001 0.375
Al: 0.250 0.499 0.875
Al: 0.499 0.750 0.125
Al: 0.501 0.250 0.125
Al: 0.750 0.501 0.875
Al: 0.750 0.999 0.375
Al: 0.999 0.250 0.625
Rh: 0.000 0.000 0.500
Rh: 0.000 0.500 0.750
Rh: 0.500 0.000 0.250
Rh: 0.500 0.500 0.000

Output
The volume is 28.73 A^3/atom. The calculation puts the energy of formation from the pure elements at 0.2 eV/f.u. The density of states at the Fermi level comes out at 0.5 states/eV/f.u. The total energy comes out at -3.997 eV/atom. The value obtained for the calculated density is 2.60 Mg/m³.

---

6.
Material: Pm4Se2O3
Method: DFT, PBE-GGA
State: relaxed

Unit cell a=8.132 b=8.132 c=6.906 alpha=90.00 beta=90.00 gamma=131.77
Sites, in units of the cell vectors:
Pm: 0.205 0.295 0.750
Pm: 0.211 0.789 0.946
Pm: 0.289 0.711 0.446
Pm: 0.295 0.205 0.250
Pm: 0.705 0.795 0.750
Pm: 0.711 0.289 0.554
Pm: 0.789 0.211 0.054
Pm: 0.795 0.705 0.250
Se: 0.105 0.895 0.589
Se: 0.395 0.605 0.089
Se: 0.605 0.395 0.911
Se: 0.895 0.105 0.411
O: 0.000 0.000 0.000
O: 0.039 0.461 0.750
O: 0.461 0.039 0.250
O: 0.500 0.500 0.500
O: 0.539 0.961 0.750
O: 0.961 0.539 0.250

Output
The volume is 18.92 A^3/atom. The density of states at the Fermi level comes out at 3.1 states/eV/f.u. The value obtained for the uncorrected formation energy is -2.42 eV/atom. The total energy comes out at -6.958 eV/atom. The value obtained for the calculated density is 7.66 Mg/m³.